#1
Ba2BiTe | PBE | relaxed

Values from the calculation:
The value obtained for the magnetization is 0.0 μB per formula unit. As for the symmetry: Fm-3m.

```
Ba2BiTe
1.0
8.614 0.000 0.000
0.000 8.614 0.000
0.000 0.000 8.614
Ba Bi Te
8 4 4
Cartesian
2.153 2.153 2.153 Ba
2.153 2.153 6.460 Ba
2.153 6.460 2.153 Ba
2.153 6.460 6.460 Ba
6.460 2.153 2.153 Ba
6.460 2.153 6.460 Ba
6.460 6.460 2.153 Ba
6.460 6.460 6.460 Ba
0.000 0.000 0.000 Bi
0.000 4.307 4.307 Bi
4.307 0.000 4.307 Bi
4.307 4.307 0.000 Bi
0.000 0.000 4.307 Te
0.000 4.307 0.000 Te
4.307 0.000 0.000 Te
4.307 4.307 4.307 Te
```

***

#2
Ba2BiTe | PBE | relaxed

Values from the calculation:
The value obtained for the magnetization is 0.0 μB per formula unit. As for the symmetry: R3m.

```
Ba2BiTe
1.0
4.769 0.000 0.000
-2.385 4.130 0.000
0.000 0.000 27.711
Ba Bi Te
6 3 3
Cartesian
0.000 0.000 0.000 Ba
0.000 0.000 4.407 Ba
0.000 2.754 18.474 Ba
0.000 2.754 22.881 Ba
2.385 1.377 9.237 Ba
2.385 1.377 13.644 Ba
0.000 0.000 16.077 Bi
0.000 2.754 6.840 Bi
2.385 1.377 25.314 Bi
0.000 0.000 11.422 Te
0.000 2.754 2.185 Te
2.385 1.377 20.659 Te
```

***

#3
Ba2BiTe | PBE | relaxed

Values from the calculation:
The value obtained for the magnetization is 0.0 μB per formula unit. As for the symmetry: P4/mmm.

```
Ba2BiTe
1.0
4.184 0.000 0.000
0.000 4.184 0.000
0.000 0.000 9.042
Ba Bi Te
2 1 1
Cartesian
0.000 0.000 2.119 Ba
0.000 0.000 6.923 Ba
2.092 2.092 4.521 Bi
2.092 2.092 0.000 Te
```

***

Computed relative energies in units of kJ/mol of atoms: #1 10.6; #2 4.8; #3 0.0

***

#1
Ba2BiTe | PBE | relaxed

Values from the calculation:
The value obtained for the magnetization is 0.0 μB per formula unit. As for the symmetry: R-3m.

```
Ba2BiTe
1.0
4.860 0.000 0.000
-2.430 4.209 0.000
0.000 0.000 26.764
Ba Bi Te
6 3 3
Cartesian
0.000 0.000 6.562 Ba
0.000 0.000 20.202 Ba
0.000 2.806 11.281 Ba
0.000 2.806 24.404 Ba
2.430 1.403 2.360 Ba
2.430 1.403 15.483 Ba
0.000 0.000 0.000 Bi
0.000 2.806 17.843 Bi
2.430 1.403 8.921 Bi
0.000 0.000 13.382 Te
0.000 2.806 4.461 Te
2.430 1.403 22.303 Te
```

***

#2
Ba2BiTe | PBE | relaxed

Values from the calculation:
The value obtained for the magnetization is 0.0 μB per formula unit. As for the symmetry: I-42d.

```
Ba2BiTe
1.0
9.308 0.000 0.000
0.000 9.308 0.000
0.000 0.000 8.202
Ba Bi Te
8 4 4
Cartesian
2.259 2.327 1.025 Ba
2.327 6.913 3.076 Ba
2.327 7.049 7.177 Ba
2.395 2.327 5.127 Ba
6.913 6.981 5.127 Ba
6.981 2.259 7.177 Ba
6.981 2.395 3.076 Ba
7.049 6.981 1.025 Ba
0.000 0.000 4.101 Bi
0.000 4.654 6.152 Bi
4.654 0.000 2.051 Bi
4.654 4.654 0.000 Bi
0.000 0.000 0.000 Te
0.000 4.654 2.051 Te
4.654 0.000 6.152 Te
4.654 4.654 4.101 Te
```

***

#3
Ba2BiTe | PBE | relaxed

Values from the calculation:
The value obtained for the magnetization is 0.0 μB per formula unit. As for the symmetry: Cmcm.

```
Ba2BiTe
1.0
5.095 0.000 0.000
0.000 27.574 0.000
0.000 0.000 4.989
Ba Bi Te
8 4 4
Cartesian
0.000 1.725 1.247 Ba
0.000 8.688 1.247 Ba
0.000 18.886 3.742 Ba
0.000 25.849 3.742 Ba
2.547 5.099 3.742 Ba
2.547 12.062 3.742 Ba
2.547 15.512 1.247 Ba
2.547 22.475 1.247 Ba
0.000 12.538 1.247 Bi
0.000 15.036 3.742 Bi
2.547 1.249 3.742 Bi
2.547 26.325 1.247 Bi
0.000 5.190 1.247 Te
0.000 22.384 3.742 Te
2.547 8.597 3.742 Te
2.547 18.977 1.247 Te
```

***

Computed relative energies in units of kJ/mol of atoms: #1 5.6; #2 24.9; #3 0.0

***

#1
Ba2Bi2Te | PBE | relaxed

Values from the calculation:
The value obtained for the magnetization is 0.0 μB per formula unit. As for the symmetry: P4/mbm.

```
Ba2Bi2Te
1.0
9.226 0.000 0.000
0.000 9.226 0.000
0.000 0.000 5.236
Ba Bi Te
4 4 2
Cartesian
1.651 2.962 0.000 Ba
2.962 7.576 0.000 Ba
6.264 1.651 0.000 Ba
7.576 6.264 0.000 Ba
1.029 5.642 2.618 Bi
3.584 1.029 2.618 Bi
5.642 8.197 2.618 Bi
8.197 3.584 2.618 Bi
0.000 0.000 0.000 Te
4.613 4.613 0.000 Te
```

***

#2
Ba2Bi2Te | PBE | relaxed

Values from the calculation:
The value obtained for the magnetization is 0.0 μB per formula unit. As for the symmetry: I4/mmm.

```
Ba2Bi2Te
1.0
6.856 0.000 0.000
0.000 6.856 0.000
0.000 0.000 9.471
Ba Bi Te
4 4 2
Cartesian
0.000 3.428 2.368 Ba
0.000 3.428 7.103 Ba
3.428 0.000 2.368 Ba
3.428 0.000 7.103 Ba
0.000 0.000 1.541 Bi
0.000 0.000 7.930 Bi
3.428 3.428 3.195 Bi
3.428 3.428 6.277 Bi
0.000 0.000 4.736 Te
3.428 3.428 0.000 Te
```

***

#3
Ba2Bi2Te | PBE | relaxed

Values from the calculation:
The value obtained for the magnetization is 0.0 μB per formula unit. As for the symmetry: P4/mbm.

```
Ba2Bi2Te
1.0
8.985 0.000 0.000
0.000 8.985 0.000
0.000 0.000 5.018
Ba Bi Te
4 4 2
Cartesian
1.636 2.856 0.000 Ba
2.856 7.349 0.000 Ba
6.129 1.636 0.000 Ba
7.349 6.129 0.000 Ba
1.059 5.551 2.509 Bi
3.434 1.059 2.509 Bi
5.551 7.926 2.509 Bi
7.926 3.434 2.509 Bi
0.000 0.000 2.509 Te
4.492 4.492 2.509 Te
```

***

Computed relative energies in units of kJ/mol of atoms: #1 2.6; #2 16.4; #3 0.0

***

#1
Ba3BiTe | PBE | relaxed

Values from the calculation:
The value obtained for the magnetization is 0.7 μB per formula unit. As for the symmetry: Pmma.

```
Ba3BiTe
1.0
7.342 0.000 0.000
0.000 6.107 0.000
0.000 0.000 10.704
Ba Bi Te
6 2 2
Cartesian
0.000 0.000 0.000 Ba
1.836 0.000 3.756 Ba
1.836 3.053 8.593 Ba
3.671 0.000 0.000 Ba
5.507 0.000 6.948 Ba
5.507 3.053 2.111 Ba
1.836 3.053 1.618 Bi
5.507 3.053 9.085 Bi
1.836 0.000 7.225 Te
5.507 0.000 3.479 Te
```

***

#2
Ba3BiTe | PBE | relaxed

Values from the calculation:
The value obtained for the magnetization is 0.2 μB per formula unit. As for the symmetry: P2_1/m.

```
Ba3BiTe
1.0
10.197 0.000 0.000
0.000 4.893 0.000
-2.294 0.000 10.115
Ba Bi Te
6 2 2
Cartesian
0.099 1.223 3.284 Ba
2.943 1.223 0.087 Ba
2.664 3.669 6.442 Ba
5.240 1.223 3.673 Ba
4.960 3.669 10.029 Ba
7.804 3.669 6.832 Ba
2.732 3.669 2.726 Bi
5.171 1.223 7.390 Bi
0.143 1.223 6.768 Te
7.760 3.669 3.348 Te
```

***

#3
Ba3BiTe | PBE | relaxed

Values from the calculation:
The value obtained for the magnetization is 0.0 μB per formula unit. As for the symmetry: Pm-3m.

```
Ba3BiTe
1.0
6.472 0.000 0.000
0.000 6.472 0.000
0.000 0.000 6.472
Ba Bi Te
3 1 1
Cartesian
0.000 0.000 3.236 Ba
0.000 3.236 0.000 Ba
3.236 0.000 0.000 Ba
3.236 3.236 3.236 Bi
0.000 0.000 0.000 Te
```

***

Computed relative energies in units of kJ/mol of atoms: #1 6.0; #2 0.0; #3 34.6

***

#1
Ba2BiTe4 | PBE | relaxed

Values from the calculation:
The value obtained for the magnetization is 0.0 μB per formula unit. As for the symmetry: I4/mmm.

```
Ba2BiTe4
1.0
5.954 0.000 0.000
0.000 5.954 0.000
0.000 0.000 17.429
Ba Bi Te
4 2 8
Cartesian
0.000 0.000 2.264 Ba
0.000 0.000 15.165 Ba
2.977 2.977 6.451 Ba
2.977 2.977 10.978 Ba
0.000 0.000 8.714 Bi
2.977 2.977 0.000 Bi
0.000 0.000 5.630 Te
0.000 0.000 11.799 Te
0.000 2.977 0.000 Te
0.000 2.977 8.714 Te
2.977 0.000 0.000 Te
2.977 0.000 8.714 Te
2.977 2.977 3.085 Te
2.977 2.977 14.344 Te
```

***

#2
Ba2BiTe4 | PBE | relaxed

Values from the calculation:
The value obtained for the magnetization is 0.0 μB per formula unit. As for the symmetry: C2/m.

```
Ba2BiTe4
1.0
12.761 0.000 0.000
0.000 4.750 0.000
-3.896 0.000 8.857
Ba Bi Te
4 2 8
Cartesian
1.483 0.000 1.434 Ba
1.002 2.375 7.423 Ba
7.864 2.375 1.434 Ba
7.383 0.000 7.423 Ba
-1.948 2.375 4.429 Bi
4.433 0.000 4.429 Bi
-2.583 2.375 7.557 Te
0.113 0.000 4.718 Te
2.372 2.375 4.139 Te
5.068 0.000 1.300 Te
3.798 0.000 7.557 Te
6.493 2.375 4.718 Te
8.753 0.000 4.139 Te
11.448 2.375 1.300 Te
```

***

Computed relative energies in units of kJ/mol of atoms: #1 17.0; #2 0.0

***

#1
BaThBi2 | PBE | relaxed

Values from the calculation:
The value obtained for the magnetization is 0.0 μB per formula unit. As for the symmetry: P4/mmm.

```
BaThBi2
1.0
4.049 0.000 0.000
0.000 4.049 0.000
0.000 0.000 8.649
Ba Th Bi
1 1 2
Cartesian
0.000 0.000 0.000 Ba
0.000 0.000 4.325 Th
2.024 2.024 2.416 Bi
2.024 2.024 6.233 Bi
```

***

#2
BaThBi2 | PBE | relaxed

Values from the calculation:
The value obtained for the magnetization is 0.0 μB per formula unit. As for the symmetry: R3m.

```
BaThBi2
1.0
4.736 0.000 0.000
-2.368 4.102 0.000
0.000 0.000 25.080
Ba Th Bi
3 3 6
Cartesian
0.000 0.000 0.000 Ba
0.000 2.734 16.720 Ba
2.368 1.367 8.360 Ba
0.000 0.000 4.276 Th
0.000 2.734 20.996 Th
2.368 1.367 12.636 Th
0.000 0.000 14.427 Bi
0.000 0.000 19.159 Bi
0.000 2.734 6.067 Bi
0.000 2.734 10.799 Bi
2.368 1.367 2.439 Bi
2.368 1.367 22.787 Bi
```

***

Computed relative energies in units of kJ/mol of atoms: #1 9.5; #2 0.0

***

#1
BaTi2Bi2 | PBE | relaxed

Values from the calculation:
The value obtained for the magnetization is 1.6 μB per formula unit. As for the symmetry: I4/mmm.

```
BaTi2Bi2
1.0
4.413 0.000 0.000
0.000 4.413 0.000
0.000 0.000 15.078
Ba Ti Bi
2 4 4
Cartesian
0.000 0.000 0.000 Ba
2.206 2.206 7.539 Ba
0.000 2.206 3.769 Ti
0.000 2.206 11.308 Ti
2.206 0.000 3.769 Ti
2.206 0.000 11.308 Ti
0.000 0.000 5.621 Bi
0.000 0.000 9.456 Bi
2.206 2.206 1.917 Bi
2.206 2.206 13.160 Bi
```

***

#2
BaTi2Bi2 | PBE | relaxed

Values from the calculation:
The value obtained for the magnetization is 3.6 μB per formula unit. As for the symmetry: P4/mbm.

```
BaTi2Bi2
1.0
8.596 0.000 0.000
0.000 8.596 0.000
0.000 0.000 3.736
Ba Ti Bi
2 4 4
Cartesian
0.000 0.000 0.000 Ba
4.298 4.298 0.000 Ba
0.933 3.365 0.000 Ti
3.365 7.663 0.000 Ti
5.230 0.933 0.000 Ti
7.663 5.230 0.000 Ti
1.430 5.728 1.868 Bi
2.867 1.430 1.868 Bi
5.728 7.165 1.868 Bi
7.165 2.867 1.868 Bi
```

***

#3
BaTi2Bi2 | PBE | relaxed

Values from the calculation:
The value obtained for the magnetization is 2.6 μB per formula unit. As for the symmetry: P4/mbm.

```
BaTi2Bi2
1.0
8.853 0.000 0.000
0.000 8.853 0.000
0.000 0.000 3.576
Ba Ti Bi
2 4 4
Cartesian
0.000 0.000 0.000 Ba
4.426 4.426 0.000 Ba
1.057 3.369 1.788 Ti
3.369 7.796 1.788 Ti
5.484 1.057 1.788 Ti
7.796 5.484 1.788 Ti
1.344 5.770 0.000 Bi
3.083 1.344 0.000 Bi
5.770 7.509 0.000 Bi
7.509 3.083 0.000 Bi
```

***

Computed relative energies in units of kJ/mol of atoms: #1 0.0; #2 26.4; #3 34.6

***

#1
BaTi3Bi | PBE | relaxed

Values from the calculation:
The value obtained for the magnetization is 0.0 μB per formula unit. As for the symmetry: Pm-3m.

```
BaTi3Bi
1.0
5.357 0.000 0.000
0.000 5.357 0.000
0.000 0.000 5.357
Ba Ti Bi
1 3 1
Cartesian
0.000 0.000 0.000 Ba
0.000 2.678 2.678 Ti
2.678 0.000 2.678 Ti
2.678 2.678 0.000 Ti
2.678 2.678 2.678 Bi
```

***

#2
BaTi3Bi | PBE | relaxed

Values from the calculation:
The value obtained for the magnetization is 1.4 μB per formula unit. As for the symmetry: Pm-3m.

```
BaTi3Bi
1.0
5.049 0.000 0.000
0.000 5.049 0.000
0.000 0.000 5.049
Ba Ti Bi
1 3 1
Cartesian
0.000 0.000 0.000 Ba
0.000 0.000 2.524 Ti
0.000 2.524 0.000 Ti
2.524 0.000 0.000 Ti
2.524 2.524 2.524 Bi
```

***

Computed relative energies in units of kJ/mol of atoms: #1 0.0; #2 64.7

***

#1
BaTlBi | PBE | relaxed

Values from the calculation:
The value obtained for the magnetization is 0.0 μB per formula unit. As for the symmetry: P3m1.

```
BaTlBi
1.0
5.094 0.000 0.000
-2.547 4.411 0.000
0.000 0.000 5.261
Ba Tl Bi
1 1 1
Cartesian
0.000 0.000 0.000 Ba
0.000 2.941 1.952 Tl
2.547 1.470 3.239 Bi
```

***

#2
BaTlBi | PBE | relaxed

Values from the calculation:
The value obtained for the magnetization is 0.0 μB per formula unit. As for the symmetry: F-43m.

```
BaTlBi
1.0
8.241 0.000 0.000
0.000 8.241 0.000
0.000 0.000 8.241
Ba Tl Bi
4 4 4
Cartesian
0.000 0.000 0.000 Ba
0.000 4.120 4.120 Ba
4.120 0.000 4.120 Ba
4.120 4.120 0.000 Ba
0.000 0.000 4.120 Tl
0.000 4.120 0.000 Tl
4.120 0.000 0.000 Tl
4.120 4.120 4.120 Tl
2.060 2.060 2.060 Bi
2.060 6.180 6.180 Bi
6.180 2.060 6.180 Bi
6.180 6.180 2.060 Bi
```

***

Computed relative energies in units of kJ/mol of atoms: #1 0.0; #2 12.3

***

#1
BaTlBi | PBE | relaxed

Values from the calculation:
The value obtained for the magnetization is 0.0 μB per formula unit. As for the symmetry: Pnma.

```
BaTlBi
1.0
8.864 0.000 0.000
0.000 5.148 0.000
0.000 0.000 10.373
Ba Tl Bi
4 4 4
Cartesian
0.270 1.287 2.057 Ba
4.163 3.861 7.243 Ba
4.702 1.287 3.130 Ba
8.595 3.861 8.316 Ba
1.261 1.287 5.989 Tl
3.171 3.861 0.803 Tl
5.694 1.287 9.570 Tl
7.603 3.861 4.384 Tl
2.160 3.861 4.111 Bi
2.272 1.287 9.297 Bi
6.592 3.861 1.075 Bi
6.705 1.287 6.262 Bi
```

***

#2
BaTlBi | PBE | relaxed

Values from the calculation:
The value obtained for the magnetization is 0.0 μB per formula unit. As for the symmetry: I4/mmm.

```
BaTlBi
1.0
5.066 0.000 0.000
0.000 5.066 0.000
0.000 0.000 18.225
Ba Tl Bi
4 4 4
Cartesian
0.000 0.000 2.958 Ba
0.000 0.000 15.267 Ba
2.533 2.533 6.154 Ba
2.533 2.533 12.071 Ba
0.000 2.533 0.000 Tl
0.000 2.533 9.113 Tl
2.533 0.000 0.000 Tl
2.533 0.000 9.113 Tl
0.000 0.000 6.608 Bi
0.000 0.000 11.618 Bi
2.533 2.533 2.505 Bi
2.533 2.533 15.720 Bi
```

***

Computed relative energies in units of kJ/mol of atoms: #1 0.0; #2 2.2